# 1
# Ce2CuSe4

A relaxed structure of Ce2CuSe4 (GGA-PBE, Alexandria).

Summary:
final energy: -5.635 eV/atom
size of the total moment: 2.76 μB/cell
calculated volume: 23.95 Å³/atom

Cell: 6.885 6.246 8.163 Å, 90.00 107.23 90.00°
Each line ends with the local moment (μB).
Positions (direct):
Cu 0.249 0.750 0.187  -0.03
Cu 0.751 0.250 0.813  -0.03
Ce 0.251 0.250 0.939  0.71
Ce 0.749 0.750 0.061  0.71
Ce 0.750 0.750 0.564  0.73
Ce 0.250 0.250 0.436  0.73
Se 0.516 0.012 0.255  -0.04
Se 0.931 0.250 0.110  -0.03
Se 0.933 0.250 0.606  -0.03
Se 0.484 0.988 0.745  -0.04
Se 0.484 0.512 0.745  -0.04
Se 0.069 0.750 0.890  -0.03
Se 0.516 0.488 0.255  -0.04
Se 0.067 0.750 0.394  -0.03

***

# 2
# SrB2Br8

A relaxed structure of SrB2Br8 (GGA-PBE, Alexandria).

Summary:
final energy: -3.501 eV/atom
size of the total moment: 0.00 μB/cell
calculated volume: 37.51 Å³/atom

Cell: 10.172 10.666 10.861 Å, 56.01 62.08 61.52°
Positions (direct):
Br 0.090 0.982 0.297
Br 0.942 0.307 0.017
Br 0.836 0.500 0.445
Br 0.465 0.721 0.509
Br 0.782 0.000 0.055
Br 0.910 0.018 0.703
Br 0.535 0.279 0.491
Br 0.266 0.193 0.483
Br 0.631 0.482 0.797
Br 0.695 0.779 0.991
Br 0.734 0.807 0.517
Br 0.218 0.000 0.945
Br 0.305 0.221 0.009
Br 0.058 0.693 0.983
Br 0.369 0.518 0.203
Br 0.164 0.500 0.555
B 0.858 0.867 0.933
B 0.657 0.633 0.567
B 0.343 0.367 0.433
B 0.142 0.133 0.067
Sr 0.032 0.750 0.250
Sr 0.968 0.250 0.750